A plane-wave DFT calculation with PBE was carried out for BaCoSbI2 after structural relaxation.

Output
* SG: P4/mmm (123)
* energy: -3.6782 eV/atom
* Fermi-level density of states: 4.05 states/eV per cell
* uncorrected formation energy: -428 meV per atom
* crystal system: tetragonal

abc: 5.596 5.596 4.987
angles: 90.00 90.00 90.00
Element x y z (fractional)
Ba 0.000 0.000 0.000
Co 0.500 0.500 0.500
Sb 0.500 0.500 0.000
I 0.000 0.500 0.500
I 0.500 0.000 0.500